Record 1
## Pm2PrDy (PBE)

Data for a relaxed structure of Pm2PrDy.

Computed properties:
Crystal system: tetragonal

a b c (Å): 4.291 4.291 7.419
angles (deg): 90.00 90.00 90.00
Space group P4/mmm (No. 123)
Inequivalent atoms, fractional coordinates:
1 Pm 0.000 0.000 0.244 [2 per cell]
2 Pr 0.500 0.500 0.500 [1 per cell]
3 Dy 0.500 0.500 0.000 [1 per cell]


Record 2
## PmPr4Dy6 (PBE)

Data for a relaxed structure of PmPr4Dy6.

Computed properties:
Crystal system: tetragonal

a b c (Å): 6.740 6.740 16.967
angles (deg): 90.00 90.00 90.00
Space group I-42m (No. 121)
Inequivalent atoms, fractional coordinates:
1 Pm 0.000 0.000 0.000 [2 per cell]
2 Pr 0.191 0.191 0.176 [8 per cell]
3 Dy 0.000 0.500 0.000 [4 per cell]
4 Dy 0.177 0.177 0.378 [8 per cell]


Record 3
## PmPr2Dy8 (PBE)

Data for a relaxed structure of PmPr2Dy8.

Computed properties:
Crystal system: monoclinic

a b c (Å): 19.000 7.052 5.598
angles (deg): 90.00 92.79 90.00
Space group C2/m (No. 12)
Inequivalent atoms, fractional coordinates:
1 Pm 0.000 0.000 0.000 [2 per cell]
2 Pr 0.216 0.500 0.253 [4 per cell]
3 Dy 0.045 0.500 0.237 [4 per cell]
4 Dy 0.130 0.267 0.733 [8 per cell]
5 Dy 0.185 0.000 0.233 [4 per cell]


Record 4
## Pm6Pr4Dy (PBE)

Data for a relaxed structure of Pm6Pr4Dy.

Computed properties:
Crystal system: tetragonal

a b c (Å): 6.812 6.812 17.022
angles (deg): 90.00 90.00 90.00
Space group I-42m (No. 121)
Inequivalent atoms, fractional coordinates:
1 Pm 0.000 0.500 0.000 [4 per cell]
2 Pm 0.174 0.174 0.121 [8 per cell]
3 Pr 0.190 0.190 0.323 [8 per cell]
4 Dy 0.000 0.000 0.500 [2 per cell]


Record 5
## Pm6Pr4Dy (PBE)

Data for a relaxed structure of Pm6Pr4Dy.

Computed properties:
Crystal system: tetragonal

a b c (Å): 7.657 7.657 13.723
angles (deg): 90.00 90.00 90.00
Space group I-42m (No. 121)
Inequivalent atoms, fractional coordinates:
1 Pm 0.000 0.500 0.000 [4 per cell]
2 Pm 0.224 0.224 0.186 [8 per cell]
3 Pr 0.174 0.174 0.419 [8 per cell]
4 Dy 0.000 0.000 0.000 [2 per cell]


Record 6
## Pm3PrDy4 (PBE)

Data for a relaxed structure of Pm3PrDy4.

Computed properties:
Crystal system: orthorhombic

a b c (Å): 11.577 7.326 6.315
angles (deg): 90.00 90.00 90.00
Space group Pmn2_1 (No. 31)
Inequivalent atoms, fractional coordinates:
1 Pm 0.000 0.128 0.000 [2 per cell]
2 Pm 0.250 0.128 0.335 [4 per cell]
3 Pr 0.000 0.873 0.500 [2 per cell]
4 Dy 0.000 0.378 0.502 [2 per cell]
5 Dy 0.000 0.622 0.001 [2 per cell]
6 Dy 0.249 0.378 0.834 [4 per cell]


Record 7
## PmPr2Dy2 (PBE)

Data for a relaxed structure of PmPr2Dy2.

Computed properties:
Crystal system: orthorhombic

a b c (Å): 5.554 17.158 7.138
angles (deg): 90.00 90.00 90.00
Space group Cmc2_1 (No. 36)
Inequivalent atoms, fractional coordinates:
1 Pm 0.000 0.107 0.000 [4 per cell]
2 Pr 0.000 0.106 0.494 [4 per cell]
3 Pr 0.000 0.302 0.248 [4 per cell]
4 Dy 0.000 0.302 0.748 [4 per cell]
5 Dy 0.000 0.500 0.246 [4 per cell]


Record 8
## Pm2Pr6Dy3 (PBE)

Data for a relaxed structure of Pm2Pr6Dy3.

Computed properties:
Crystal system: triclinic

a b c (Å): 6.336 8.153 8.189
angles (deg): 107.42 97.28 104.90
Space group P-1 (No. 2)
Inequivalent atoms, fractional coordinates:
1 Pm 0.230 0.411 0.047 [2 per cell]
2 Pr 0.047 0.683 0.409 [2 per cell]
3 Pr 0.137 0.046 0.231 [2 per cell]
4 Pr 0.320 0.772 0.865 [2 per cell]
5 Dy 0.410 0.138 0.681 [2 per cell]
6 Dy 0.500 0.500 0.500 [1 per cell]


Record 9
## Pm5Pr6Dy2 (PBE)

Data for a relaxed structure of Pm5Pr6Dy2.

Computed properties:
Crystal system: orthorhombic

a b c (Å): 11.875 21.048 3.670
angles (deg): 90.00 90.00 90.00
Space group Pbam (No. 55)
Inequivalent atoms, fractional coordinates:
1 Pm 0.000 0.000 0.000 [2 per cell]
2 Pm 0.088 0.273 0.000 [4 per cell]
3 Pm 0.197 0.555 0.000 [4 per cell]
4 Pr 0.062 0.419 0.500 [4 per cell]
5 Pr 0.083 0.132 0.500 [4 per cell]
6 Pr 0.174 0.862 0.000 [4 per cell]
7 Dy 0.169 0.710 0.500 [4 per cell]


Record 10
## Pm2Pr5Dy3 (PBE)

Data for a relaxed structure of Pm2Pr5Dy3.

Computed properties:
Crystal system: orthorhombic

a b c (Å): 9.513 22.288 6.908
angles (deg): 90.00 90.00 90.00
Space group Ibam (No. 72)
Inequivalent atoms, fractional coordinates:
1 Pm 0.096 0.120 0.000 [8 per cell]
2 Pr 0.000 0.246 0.250 [8 per cell]
3 Pr 0.000 0.500 0.250 [4 per cell]
4 Pr 0.096 0.372 0.500 [8 per cell]
5 Dy 0.000 0.000 0.250 [4 per cell]
6 Dy 0.246 0.118 0.500 [8 per cell]


Record 11
## PmPr4Dy3 (PBE)

Data for a relaxed structure of PmPr4Dy3.

Computed properties:
Crystal system: orthorhombic

a b c (Å): 11.758 7.375 6.360
angles (deg): 90.00 90.00 90.00
Space group Pmn2_1 (No. 31)
Inequivalent atoms, fractional coordinates:
1 Pm 0.000 0.123 0.000 [2 per cell]
2 Pr 0.000 0.371 0.501 [2 per cell]
3 Pr 0.000 0.629 0.993 [2 per cell]
4 Pr 0.247 0.627 0.333 [4 per cell]
5 Dy 0.000 0.880 0.498 [2 per cell]
6 Dy 0.250 0.121 0.331 [4 per cell]


Record 12
## Pm6PrDy4 (PBE)

Data for a relaxed structure of Pm6PrDy4.

Computed properties:
Crystal system: hexagonal

a b c (Å): 11.0967 11.0967 3.5890
angles (deg): 90.00 90.00 120.00
Space group P-6m2 (No. 187)
Inequivalent atoms, fractional coordinates:
1 Pm 0.0322 0.5161 0.0000 [3 per cell]
2 Pm 0.1451 0.2903 0.5000 [3 per cell]
3 Pr 0.6667 0.3333 0.5000 [1 per cell]
4 Dy 0.3333 0.6667 0.5000 [1 per cell]
5 Dy 0.3412 0.1706 0.0000 [3 per cell]


Calculated density of states at the Fermi level, 9.0 29.7 35.1 32.6 26.3 29.0 29.6 15.3 30.8 60.1 28.3 15.0 states/eV per cell (same order as the records).
Calculated total magnetic moment, 0.0 0.0 0.0 0.0 0.0 0.0 0.0 0.0 0.0 0.0 0.0 0.0 μB/f.u. (same order as the records).
Calculated DFT formation energy, 116 299 163 275 378 27 60 15 92 355 32 154 meV/atom (same order as the records).